Record 1
DFT (GGA-PBE) results for an optimized crystal structure of BiPbN2.

Unit cell a=4.4910 b=4.4910 c=4.4910 alpha=60.00 beta=60.00 gamma=60.00
Closest atoms and distances in Å follow each position.
Atoms (fractional coordinates):
Bi1 0.0000 0.0000 0.0000  8 N 2.75
Pb1 0.5000 0.5000 0.5000  8 N 2.75
N1 0.2500 0.2500 0.2500  4 Pb 2.75, 4 Bi 2.75
N2 0.7500 0.7500 0.7500  4 Pb 2.75, 4 Bi 2.75

Properties
symmetry: Fm-3m, No. 225
DOS(E_F): 0.477 states/eV/atom


Record 2
DFT (GGA-PBE) results for an optimized crystal structure of BiPbN3.

Unit cell a=4.2672 b=4.2672 c=4.2672 alpha=90.00 beta=90.00 gamma=90.00
Closest atoms and distances in Å follow each position.
Atoms (fractional coordinates):
Bi1 0.0000 0.0000 0.0000  12 N 3.02
Pb1 0.5000 0.5000 0.5000  6 N 2.13
N1 0.0000 0.5000 0.5000  2 Pb 2.13
N2 0.5000 0.0000 0.5000  2 Pb 2.13
N3 0.5000 0.5000 0.0000  2 Pb 2.13

Properties
symmetry: Pm-3m, No. 221
DOS(E_F): 0.701 states/eV/atom


Record 3
DFT (GGA-PBE) results for an optimized crystal structure of BiPbN3.

Unit cell a=4.3724 b=4.3724 c=4.3724 alpha=90.00 beta=90.00 gamma=90.00
Closest atoms and distances in Å follow each position.
Atoms (fractional coordinates):
Bi1 0.0000 0.0000 0.0000  6 N 2.19
Pb1 0.5000 0.5000 0.5000  12 N 3.09
N1 0.0000 0.0000 0.5000  2 Bi 2.19
N2 0.0000 0.5000 0.0000  2 Bi 2.19
N3 0.5000 0.0000 0.0000  2 Bi 2.19

Properties
symmetry: Pm-3m, No. 221
DOS(E_F): 0.794 states/eV/atom


Record 4
DFT (GGA-PBE) results for an optimized crystal structure of Bi3Pb3N5.

Unit cell a=6.6244 b=7.6308 c=10.2740 alpha=92.69 beta=91.13 gamma=102.81
Closest atoms and distances in Å follow each position.
Atoms (fractional coordinates):
Bi1 0.1534 0.2551 0.3656  3 N 2.18-2.29
Bi2 0.2526 0.9575 0.0826  3 N 2.22-2.26
Bi3 0.2593 0.2006 0.7192  3 N 2.23-2.25
Bi4 0.7407 0.7994 0.2808  3 N 2.23-2.25
Bi5 0.7474 0.0425 0.9174  3 N 2.22-2.26
Bi6 0.8466 0.7449 0.6344  3 N 2.18-2.29
Pb1 0.2153 0.4026 0.0257  3 N 2.31-2.44
Pb2 0.2992 0.8406 0.4170  3 N 2.34-2.51
Pb3 0.3265 0.7176 0.7631  3 N 2.31-2.48
Pb4 0.6735 0.2824 0.2369  3 N 2.31-2.48
Pb5 0.7008 0.1594 0.5830  3 N 2.34-2.51
Pb6 0.7847 0.5974 0.9743  3 N 2.31-2.44
N1 0.0469 0.9829 0.2528  3 Bi 2.23-2.29
N2 0.1621 0.6882 0.9785  1 Bi 2.22, 3 Pb 2.35-2.48
N3 0.3293 0.1299 0.5130  2 Bi 2.24-2.26, 2 Pb 2.34-2.51
N4 0.3725 0.3876 0.2265  1 Bi 2.18, 2 Pb 2.31
N5 0.4929 0.0383 0.7672  2 Bi 2.25-2.26, 2 Pb 2.45-2.46
N6 0.5071 0.9617 0.2328  2 Bi 2.25-2.26, 2 Pb 2.45-2.46
N7 0.6275 0.6124 0.7735  1 Bi 2.18, 2 Pb 2.31
N8 0.6707 0.8701 0.4870  2 Bi 2.24-2.26, 2 Pb 2.34-2.51
N9 0.8379 0.3118 0.0215  1 Bi 2.22, 3 Pb 2.35-2.48
N10 0.9531 0.0171 0.7472  3 Bi 2.23-2.29

Properties
symmetry: P-1, No. 2


Record 5
DFT (GGA-PBE) results for an optimized crystal structure of Bi3PbN.

Unit cell a=6.5906 b=6.7959 c=7.1595 alpha=97.95 beta=99.11 gamma=91.18
Closest atoms and distances in Å follow each position.
Atoms (fractional coordinates):
Bi1 0.0034 0.1795 0.3517  4 Bi 3.15-3.45, 1 N 3.33, 1 Pb 3.41
Bi2 0.2043 0.6812 0.0548  3 Bi 3.22-3.53, 4 Pb 3.32-3.59, 1 N 3.32
Bi3 0.3255 0.4909 0.6521  4 Bi 3.15-3.42, 1 Pb 3.41, 1 N 3.45
Bi4 0.6745 0.5091 0.3479  4 Bi 3.15-3.42, 1 Pb 3.41, 1 N 3.45
Bi5 0.7957 0.3188 0.9452  3 Bi 3.22-3.53, 4 Pb 3.32-3.59, 1 N 3.32
Bi6 0.9966 0.8205 0.6483  4 Bi 3.15-3.45, 1 N 3.33, 1 Pb 3.41
Pb1 0.2817 0.1903 0.9896  7 Bi 3.32-3.59
Pb2 0.7183 0.8097 0.0104  7 Bi 3.32-3.59
N1 0.4367 0.9470 0.4590  1 N 1.12
N2 0.5633 0.0530 0.5410  1 N 1.12

Properties
symmetry: P-1, No. 2
DOS(E_F): 0.362 states/eV/atom


Record 6
DFT (GGA-PBE) results for an optimized crystal structure of BiPb3N.

Unit cell a=6.2996 b=6.9086 c=7.5847 alpha=101.85 beta=94.93 gamma=109.51
Closest atoms and distances in Å follow each position.
Atoms (fractional coordinates):
Bi1 0.0614 0.2929 0.3074  6 Pb 3.28-3.67
Bi2 0.9386 0.7071 0.6926  6 Pb 3.28-3.67
Pb1 0.0361 0.8026 0.1679  1 N 2.26
Pb2 0.4806 0.2545 0.5687  1 N 2.27
Pb3 0.4839 0.7086 0.9080  2 N 2.32-2.33
Pb4 0.5161 0.2914 0.0920  2 N 2.32-2.33
Pb5 0.5194 0.7455 0.4313  1 N 2.27
Pb6 0.9639 0.1974 0.8321  1 N 2.26
N1 0.3419 0.3401 0.8290  4 Pb 2.26-2.33
N2 0.6581 0.6599 0.1710  4 Pb 2.26-2.33

Properties
symmetry: P-1, No. 2
DOS(E_F): 0.158 states/eV/atom


Record 7
DFT (GGA-PBE) results for an optimized crystal structure of BiPb3N.

Unit cell a=5.1282 b=5.1282 c=5.1282 alpha=90.00 beta=90.00 gamma=90.00
Closest atoms and distances in Å follow each position.
Atoms (fractional coordinates):
Bi1 0.0000 0.0000 0.0000  12 Pb 3.63
Pb1 0.0000 0.5000 0.5000  2 N 2.56
Pb2 0.5000 0.0000 0.5000  2 N 2.56
Pb3 0.5000 0.5000 0.0000  2 N 2.56
N1 0.5000 0.5000 0.5000  6 Pb 2.56

Properties
symmetry: Pm-3m, No. 221
DOS(E_F): 0.433 states/eV/atom


Record 8
DFT (GGA-PBE) results for an optimized crystal structure of Pm4BiPbN.

Unit cell a=8.9781 b=8.9781 c=6.9247 alpha=90.00 beta=90.00 gamma=134.59
Closest atoms and distances in Å follow each position.
Atoms (fractional coordinates):
Pm1 0.0000 0.5000 0.0000  2 N 2.45
Pm2 0.0000 0.5000 0.5000  2 N 2.45
Pm3 0.0926 0.9074 0.7500  1 N 2.60
Pm4 0.4059 0.5941 0.7500  1 N 2.59
Pm5 0.5000 0.0000 0.0000  2 N 2.45
Pm6 0.5000 0.0000 0.5000  2 N 2.45
Pm7 0.5941 0.4059 0.2500  1 N 2.59
Pm8 0.9074 0.0926 0.2500  1 N 2.60
Bi1 0.3942 0.6058 0.2500  9 Pm 3.31-3.47
Bi2 0.6058 0.3942 0.7500  9 Pm 3.31-3.47
Pb1 0.1052 0.8948 0.2500  9 Pm 3.28-3.47
Pb2 0.8948 0.1052 0.7500  9 Pm 3.28-3.47
N1 0.2493 0.7507 0.7500  6 Pm 2.45-2.60
N2 0.7507 0.2493 0.2500  6 Pm 2.45-2.60

Properties
symmetry: Cmcm, No. 63
DOS(E_F): 0.851 states/eV/atom


Record 9
DFT (GGA-PBE) results for an optimized crystal structure of Pr4BiPbN.

Unit cell a=9.1248 b=9.1248 c=7.0450 alpha=90.00 beta=90.00 gamma=134.54
Closest atoms and distances in Å follow each position.
Atoms (fractional coordinates):
Pr1 0.0000 0.5000 0.0000  2 N 2.49
Pr2 0.0000 0.5000 0.5000  2 N 2.49
Pr3 0.0914 0.9086 0.7500  1 N 2.66
Pr4 0.4073 0.5927 0.7500  1 N 2.66
Pr5 0.5000 0.0000 0.0000  2 N 2.49
Pr6 0.5000 0.0000 0.5000  2 N 2.49
Pr7 0.5927 0.4073 0.2500  1 N 2.66
Pr8 0.9086 0.0914 0.2500  1 N 2.66
Bi1 0.3936 0.6064 0.2500  9 Pr 3.35-3.53
Bi2 0.6064 0.3936 0.7500  9 Pr 3.35-3.53
Pb1 0.1057 0.8943 0.2500  9 Pr 3.32-3.53
Pb2 0.8943 0.1057 0.7500  9 Pr 3.32-3.53
N1 0.2495 0.7505 0.7500  6 Pr 2.49-2.66
N2 0.7505 0.2495 0.2500  6 Pr 2.49-2.66

Properties
symmetry: Cmcm, No. 63
DOS(E_F): 0.886 states/eV/atom


Record 10
DFT (GGA-PBE) results for an optimized crystal structure of Pu4BiPbN.

Unit cell a=8.9095 b=8.9095 c=6.7355 alpha=90.00 beta=90.00 gamma=135.63
Closest atoms and distances in Å follow each position.
Atoms (fractional coordinates):
Pu1 0.0000 0.5000 0.0000  2 N 2.38
Pu2 0.0000 0.5000 0.5000  2 N 2.38
Pu3 0.0938 0.9062 0.7500  1 N 2.65
Pu4 0.4039 0.5961 0.7500  1 N 2.46
Pu5 0.5000 0.0000 0.0000  2 N 2.38
Pu6 0.5000 0.0000 0.5000  2 N 2.38
Pu7 0.5961 0.4039 0.2500  1 N 2.46
Pu8 0.9062 0.0938 0.2500  1 N 2.65
Bi1 0.1056 0.8944 0.2500  9 Pu 3.29-3.37
Bi2 0.8944 0.1056 0.7500  9 Pu 3.29-3.37
Pb1 0.3941 0.6059 0.2500  9 Pu 3.33-3.37
Pb2 0.6059 0.3941 0.7500  9 Pu 3.33-3.37
N1 0.2546 0.7454 0.7500  6 Pu 2.38-2.65
N2 0.7454 0.2546 0.2500  6 Pu 2.38-2.65

Properties
symmetry: Cmcm, No. 63
DOS(E_F): 5.320 states/eV/atom


Record 11
DFT (GGA-PBE) results for an optimized crystal structure of Bi2RhPbN.

Unit cell a=5.5490 b=5.5490 c=3.7890 alpha=90.00 beta=90.00 gamma=90.00
Closest atoms and distances in Å follow each position.
Atoms (fractional coordinates):
Bi1 0.0000 0.5000 0.0000  2 N 2.77
Bi2 0.5000 0.0000 0.0000  2 N 2.77
Rh1 0.0000 0.0000 0.5000  2 N 1.89
Pb1 0.5000 0.5000 0.5000  8 Bi 3.36
N1 0.0000 0.0000 0.0000  2 Rh 1.89

Properties
symmetry: P4/mmm, No. 123
DOS(E_F): 0.835 states/eV/atom


Record 12
DFT (GGA-PBE) results for an optimized crystal structure of BiPbSN2.

Unit cell a=4.3766 b=4.3766 c=5.4673 alpha=90.00 beta=90.00 gamma=90.00
Closest atoms and distances in Å follow each position.
Atoms (fractional coordinates):
Bi1 0.0000 0.0000 0.0000  4 N 2.19
Pb1 0.5000 0.5000 0.5000  4 S 3.09
S1 0.0000 0.0000 0.5000  2 Bi 2.73
N1 0.0000 0.5000 0.0000  2 Bi 2.19
N2 0.5000 0.0000 0.0000  2 Bi 2.19

Properties
symmetry: P4/mmm, No. 123
DOS(E_F): 0.499 states/eV/atom


Number 1: V 64 Å³ per cell, raw formation energy 1.356 eV per atom. Number 2: V 78 Å³ per cell, raw formation energy 1.864 eV per atom. Number 3: V 84 Å³ per cell, raw formation energy 1.641 eV per atom. Number 4: V 506 Å³ per cell, raw formation energy 0.599 eV per atom. Number 5: V 313 Å³ per cell, raw formation energy 0.150 eV per atom. Number 6: V 300 Å³ per cell, raw formation energy 0.271 eV per atom. Number 7: V 135 Å³ per cell, raw formation energy 0.388 eV per atom. Number 8: V 397 Å³ per cell, raw formation energy -0.858 eV per atom. Number 9: V 418 Å³ per cell, raw formation energy -0.821 eV per atom. Number 10: V 374 Å³ per cell, raw formation energy -0.457 eV per atom. Number 11: V 117 Å³ per cell, raw formation energy 0.364 eV per atom. Number 12: V 105 Å³ per cell, raw formation energy 1.141 eV per atom.